1.
CeEuCuGe: relaxed, PBE.

Structure (POSCAR):
```
CeEuCuGe
1.0
5.148 0.000 0.000
2.574 4.458 0.000
2.574 1.486 4.203
Eu Ge Cu Ce
1 1 1 1
Direct
0.250 0.250 0.250
0.500 0.500 0.500
0.000 0.000 0.000
0.750 0.750 0.750
```

Properties
Final energy = -26.33 eV/cell
DOS at the Fermi energy = 7.7 states/eV/f.u.
Energy of formation from the pure elements = -0.35 eV per atom
Volume = 96.5 Å³/cell

=====

2.
NaSr4H8: relaxed, PBE.

Structure (POSCAR):
```
NaSr4H8
1.0
-4.339 3.019 2.786
1.803 -2.242 5.237
3.691 4.644 0.717
Na Sr H
1 4 8
Direct
0.500 0.500 0.500
0.000 0.500 0.500
0.000 0.000 0.000
0.500 0.500 0.000
0.500 0.000 0.500
0.260 0.740 0.740
0.740 0.260 0.740
0.740 0.740 0.260
0.260 0.260 0.260
0.260 0.740 0.260
0.740 0.260 0.260
0.740 0.740 0.740
0.260 0.260 0.740
```

Properties
Final energy = -40.04 eV/cell
DOS at the Fermi energy = 1.3 states/eV/f.u.
Volume = 213.4 Å³/cell

=====

3.
BaZnBPt3: relaxed, PBE.

Structure (POSCAR):
```
BaZnBPt3
1.0
-1.137 -5.524 1.671
5.521 -2.196 -3.503
0.645 1.874 6.633
Ba Zn B Pt
2 2 2 6
Direct
0.750 0.261 0.522
0.250 0.739 0.478
0.250 0.432 0.864
0.750 0.568 0.136
0.250 0.044 0.088
0.750 0.956 0.912
0.250 0.214 0.429
0.000 0.210 0.000
0.500 0.790 0.000
0.500 0.210 0.000
0.000 0.790 0.000
0.750 0.786 0.571
```

Properties
Final energy = -62.04 eV/cell
DOS at the Fermi energy = 1.5 states/eV/f.u.
Energy of formation from the pure elements = -0.50 eV per atom
Volume = 243.5 Å³/cell

=====

4.
Sc5Ga4Os: relaxed, PBE.

Structure (POSCAR):
```
Sc5Ga4Os
1.0
3.316 0.000 0.000
0.000 3.316 0.000
0.000 0.000 16.754
Sc Ga Os
5 4 1
Direct
0.500 0.500 0.091
0.500 0.500 0.294
0.500 0.500 0.500
0.500 0.500 0.706
0.500 0.500 0.909
0.000 0.000 0.192
0.000 0.000 0.397
0.000 0.000 0.603
0.000 0.000 0.808
0.000 0.000 0.000
```

Properties
Final energy = -61.02 eV/cell
DOS at the Fermi energy = 4.6 states/eV/f.u.
Energy of formation from the pure elements = -0.60 eV per atom
Volume = 184.2 Å³/cell

=====

5.
PdS2Br: relaxed, PBE.

Structure (POSCAR):
```
PdS2Br
1.0
2.164 0.000 7.313
-1.082 1.874 7.313
-1.082 -1.874 7.313
S Br Pd
2 1 1
Direct
0.887 0.887 0.887
0.113 0.113 0.113
0.000 0.000 0.000
0.500 0.500 0.500
```

Properties
Final energy = -15.54 eV/cell
Formation energy without anion corrections = -10 kJ per mole of atoms
DOS at the Fermi energy = 1.7 states/eV/f.u.
Offset from the most stable computed form = 0.011 eV/atom
Volume = 89.0 Å³/cell

=====

6.
KLiHo2S4: relaxed, PBE.

Structure (POSCAR):
```
KLiHo2S4
1.0
4.009 0.000 0.000
-2.005 6.693 0.000
0.000 0.000 13.894
K Li Ho S
2 2 4 8
Direct
0.107 0.215 0.750
0.893 0.785 0.250
0.833 0.666 0.750
0.167 0.334 0.250
0.366 0.732 0.561
0.634 0.268 0.061
0.634 0.268 0.439
0.366 0.732 0.939
0.262 0.524 0.107
0.738 0.476 0.607
0.738 0.476 0.893
0.262 0.524 0.393
0.000 0.000 0.500
0.000 0.000 0.000
0.425 0.851 0.750
0.575 0.149 0.250
```

Properties
Final energy = -87.03 eV/cell
Formation energy without anion corrections = -179 kJ per mole of atoms
DOS at the Fermi energy = 0.0 states/eV/f.u.
Volume = 372.9 Å³/cell

=====

7.
Pu2TlSb2: relaxed, PBE.

Structure (POSCAR):
```
Pu2TlSb2
1.0
-4.399 -1.522 2.791
4.949 -0.850 2.060
-0.189 5.650 2.784
Pu Tl Sb
2 1 2
Direct
0.333 0.667 0.240
0.667 0.333 0.760
0.000 0.000 0.000
0.333 0.667 0.733
0.667 0.333 0.267
```

Properties
Final energy = -40.93 eV/cell
Formation energy without anion corrections = -32 kJ per mole of atoms
DOS at the Fermi energy = 26.7 states/eV/f.u.
Volume = 160.8 Å³/cell

=====

8.
ZnTcN2O: relaxed, PBE.

Structure (POSCAR):
```
ZnTcN2O
1.0
-0.561 -1.850 3.334
3.808 -0.452 0.390
0.200 3.278 1.853
Zn Tc O N
1 1 1 2
Direct
0.000 0.000 0.000
0.500 0.500 0.500
0.000 0.000 0.500
0.000 0.500 0.000
0.500 0.000 0.000
```

Properties
Final energy = -26.22 eV/cell
Formation energy without anion corrections = 136 kJ per mole of atoms
DOS at the Fermi energy = 2.9 states/eV/f.u.
Volume = 56.0 Å³/cell

=====

volume of number 7 (Pu2TlSb2)?
160.8 Å³/cell

=====

The highest DOS at the Fermi energy belongs to which entry?
Pu2TlSb2

=====

The lowest DOS at the Fermi energy belongs to which entry?
KLiHo2S4

=====

Copy entry 3 word for word.
BaZnBPt3: relaxed, PBE.

Structure (POSCAR):
```
BaZnBPt3
1.0
-1.137 -5.524 1.671
5.521 -2.196 -3.503
0.645 1.874 6.633
Ba Zn B Pt
2 2 2 6
Direct
0.750 0.261 0.522
0.250 0.739 0.478
0.250 0.432 0.864
0.750 0.568 0.136
0.250 0.044 0.088
0.750 0.956 0.912
0.250 0.214 0.429
0.000 0.210 0.000
0.500 0.790 0.000
0.500 0.210 0.000
0.000 0.790 0.000
0.750 0.786 0.571
```

Properties
Final energy = -62.04 eV/cell
DOS at the Fermi energy = 1.5 states/eV/f.u.
Energy of formation from the pure elements = -0.50 eV per atom
Volume = 243.5 Å³/cell